Crystalline Pm4Pr8Mg at its relaxed geometry, computed with PBE.

```
13
Lattice="5.909 3.412 3.948 -5.909 3.412 3.948 0.000 -6.823 3.948" Properties=species:S:1:pos:R:3 pbc="T T T"
Pm 0.000 0.000 0.000
Pm -2.955 -1.706 3.948
Pm -2.955 1.706 7.895
Pm 0.000 3.412 3.948
Pr 0.000 -3.401 3.955
Pr -2.946 1.701 3.955
Pr 0.000 0.000 2.860
Pr -2.946 -1.701 7.888
Pr 2.946 1.701 3.955
Pr 0.000 0.000 8.983
Pr 2.946 -1.701 7.888
Pr 0.000 3.401 7.888
Mg 0.000 0.000 5.921
```

formation energy = 383 meV/atom
E = -4.142 eV per atom
Fermi-level density of states = 24.2 states/eV/cell